No. 1
# LiLaPm2, optimized geometry, DFT PBE
data_LiLaPm2
_chemical_formula_sum 'Li4 La4 Pm8'
_space_group_name_H-M_alt 'F m -3 m'
_space_group_IT_number 225
_space_group_name_Hall '-F 4 2 3'
_cell_length_a 7.942
_cell_length_b 7.942
_cell_length_c 7.942
_cell_angle_alpha 90.00
_cell_angle_beta 90.00
_cell_angle_gamma 90.00
loop_
_atom_site_label
_atom_site_type_symbol
_atom_site_fract_x
_atom_site_fract_y
_atom_site_fract_z
Li1 Li 0.000 0.000 0.000
La1 La 0.000 0.000 0.500
Pm1 Pm 0.250 0.250 0.250
# - Excess energy over the best structure of this formula in the dataset: 0.148 eV per atom
# - ΔE_f: 0.87 eV per formula unit



No. 2
# Ba2Br2N, optimized geometry, DFT PBE
data_Ba2Br2N
_chemical_formula_sum 'Ba4 Br4 N2'
_space_group_name_H-M_alt 'I 4/m m m'
_space_group_IT_number 139
_space_group_name_Hall '-I 4 2'
_cell_length_a 6.176
_cell_length_b 6.176
_cell_length_c 9.535
_cell_angle_alpha 90.00
_cell_angle_beta 90.00
_cell_angle_gamma 90.00
loop_
_atom_site_label
_atom_site_type_symbol
_atom_site_fract_x
_atom_site_fract_y
_atom_site_fract_z
Ba1 Ba 0.000 0.500 0.250
Br1 Br 0.000 0.000 0.174
N1 N 0.000 0.000 0.500
# - Formation energy (no corrections): -255 kJ/mol of formula units



No. 3
# BaCd2Hg3, optimized geometry, DFT PBE
data_BaCd2Hg3
_chemical_formula_sum 'Ba2 Cd4 Hg6'
_space_group_name_H-M_alt 'P 63/m m c'
_space_group_IT_number 194
_space_group_name_Hall '-P 6c 2c'
_cell_length_a 5.1375
_cell_length_b 5.1375
_cell_length_c 15.0456
_cell_angle_alpha 90.00
_cell_angle_beta 90.00
_cell_angle_gamma 120.00
loop_
_atom_site_label
_atom_site_type_symbol
_atom_site_fract_x
_atom_site_fract_y
_atom_site_fract_z
Ba1 Ba 0.0000 0.0000 0.2500
Cd1 Cd 0.3333 0.6667 0.0828
Hg1 Hg 0.0000 0.0000 0.0000
Hg2 Hg 0.3333 0.6667 0.6295
# - Excess energy over the best structure of this formula in the dataset: 0.000 eV per atom
# - ΔE_f: -1.66 eV per formula unit